Material: KCrFeO3
Method: DFT, PBE with a Hubbard U
State: relaxed

SG = No. 11
total DFT energy (no corrections) = -76.07 eV for the cell shown

Unit cell a=6.4107 b=3.1290 c=9.4096 alpha=90.00 beta=108.96 gamma=90.00
With the nearest neighbours (Å) after each atom.
Sites, in units of the cell vectors:
K1 0.0063 0.2500 0.2099  7 O 2.84-2.98, 2 K 3.13
K2 0.9937 0.7500 0.7901  7 O 2.84-2.98, 2 K 3.13
Cr1 0.4305 0.7500 0.6113  5 O 1.95-2.06
Cr2 0.5695 0.2500 0.3887  5 O 1.95-2.06
Fe1 0.4921 0.7500 0.1169  4 O 2.01-2.14
Fe2 0.5079 0.2500 0.8831  4 O 2.01-2.14
O1 0.2818 0.2500 0.6765  1 Fe 2.01, 2 Cr 2.03
O2 0.3006 0.2500 0.0218  3 Fe 2.01-2.14
O3 0.3620 0.7500 0.3941  3 Cr 1.95-2.06
O4 0.6380 0.2500 0.6059  3 Cr 1.95-2.06
O5 0.6994 0.7500 0.9782  3 Fe 2.01-2.14
O6 0.7182 0.7500 0.3235  1 Fe 2.01, 2 Cr 2.03